[1]
Below is a relaxed structure of CaTbSc2, with properties calculated at the GGA-PBE level.

a = 11.615 Å, b = 11.615 Å, c = 11.615 Å
α = 17.13°, β = 17.13°, γ = 17.13°
Fractional positions:
Ca 0.000 0.000 0.000
Tb 0.500 0.500 0.500
Sc 0.245 0.245 0.245
Sc 0.755 0.755 0.755

**Energy relative to the lowest polymorph listed for this composition**: 0.0099 eV/atom
**V**: 29.67 A^3/atom
**Uncorrected energy**: -18.7 eV per cell
**Space group**: R-3m (166)



[2]
Below is a relaxed structure of Sm2Ga3Ni4Ir, with properties calculated at the GGA-PBE level.

a = 3.993 Å, b = 3.993 Å, c = 10.465 Å
α = 90.00°, β = 90.00°, γ = 90.00°
Fractional positions:
Sm 0.000 0.500 0.244
Sm 0.500 0.000 0.756
Ga 0.000 0.000 0.000
Ga 0.000 0.500 0.627
Ga 0.500 0.000 0.373
Ni 0.000 0.000 0.500
Ni 0.000 0.500 0.857
Ni 0.500 0.000 0.143
Ni 0.500 0.500 0.500
Ir 0.500 0.500 0.000

**V**: 16.68 A^3/atom
**Uncorrected energy**: -55.6 eV per cell
**Space group**: P-4m2 (115)



[3]
Below is a relaxed structure of BeCd2Pb, with properties calculated at the GGA-PBE level.

a = 5.332 Å, b = 5.332 Å, c = 3.542 Å
α = 90.00°, β = 90.00°, γ = 116.69°
Fractional positions:
Be 0.000 0.000 0.000
Cd 0.000 0.500 0.500
Cd 0.500 0.000 0.500
Pb 0.500 0.500 0.000

**Energy relative to the lowest polymorph listed for this composition**: 0.1694 eV/atom
**V**: 22.49 A^3/atom
**Uncorrected energy**: -7.4 eV per cell
**Space group**: Cmmm (65)



[4]
Below is a relaxed structure of Be3Au5, with properties calculated at the GGA-PBE level.

a = 7.049 Å, b = 7.049 Å, c = 5.407 Å
α = 90.00°, β = 90.00°, γ = 120.00°
Fractional positions:
Be 0.000 0.403 0.250
Be 0.000 0.597 0.750
Be 0.403 0.000 0.250
Be 0.403 0.403 0.750
Be 0.597 0.000 0.750
Be 0.597 0.597 0.250
Au 0.000 0.244 0.750
Au 0.000 0.756 0.250
Au 0.244 0.000 0.750
Au 0.244 0.244 0.250
Au 0.333 0.667 0.000
Au 0.333 0.667 0.500
Au 0.667 0.333 0.000
Au 0.667 0.333 0.500
Au 0.756 0.000 0.250
Au 0.756 0.756 0.750

**Energy relative to the lowest polymorph listed for this composition**: 0.0727 eV/atom
**V**: 14.54 A^3/atom
**Uncorrected energy**: -56.1 eV per cell
**Space group**: P6_3/mcm (193)



[5]
Below is a relaxed structure of GdMgZnCu, with properties calculated at the GGA-PBE level.

a = 4.801 Å, b = 4.801 Å, c = 4.801 Å
α = 60.00°, β = 60.00°, γ = 60.00°
Fractional positions:
Gd 0.000 0.000 0.000
Mg 0.500 0.500 0.500
Zn 0.750 0.750 0.750
Cu 0.250 0.250 0.250

**V**: 19.57 A^3/atom
**Uncorrected energy**: -22.1 eV per cell
**Space group**: F-43m (216)



[6]
Below is a relaxed structure of K3RbAu, with properties calculated at the GGA-PBE level.

a = 7.572 Å, b = 7.572 Å, c = 7.572 Å
α = 90.00°, β = 90.00°, γ = 90.00°
Fractional positions:
K 0.000 0.000 0.500
K 0.000 0.500 0.000
K 0.500 0.000 0.000
Rb 0.000 0.000 0.000
Au 0.500 0.500 0.500

**Energy relative to the lowest polymorph listed for this composition**: 0.6263 eV/atom
**V**: 86.83 A^3/atom
**Uncorrected energy**: -5.1 eV per cell
**Space group**: Pm-3m (221)



- The highest uncorrected energy belongs to which entry?
  K3RbAu